A relaxed OsBrCl crystal, computed with PBEsol. Values from VASP.

```
&SYSTEM
  ibrav = 0, nat = 3, ntyp = 3
/
ATOMIC_SPECIES
Br 79.90 Br.upf
Os 190.23 Os.upf
Cl 35.45 Cl.upf
ATOMIC_POSITIONS angstrom
Br -0.0005 0.3481 0.4359
Os 2.1146 0.8621 1.5939
Cl 0.7777 0.2742 3.5373
CELL_PARAMETERS angstrom
-0.5559 -2.8642 2.2866
3.4519 1.0575 -0.8409
-0.0043 3.2911 4.1214
```

## Properties
- SG: P3m1, No. 156
- E: -5.084 eV per atom
- Formation energy from raw total energies: 0.281 eV/atom